Compound: YPb2
Source: Alexandria
Functional: meta-GGA SCAN
Structure: single point on PBEsol structure

Values from the calculation:
As for the formation energy: -0.607 eV/atom.

POSCAR file:
```
YPb2
1.0
4.4427 0.0000 0.0000
0.0000 4.4795 0.0000
0.0000 2.2397 8.2172
Pb Y
4 2
direct
0.7500 0.5678 0.8644
0.2500 0.4322 0.1356
0.7500 0.2516 0.4969
0.2500 0.7484 0.5031
0.2500 0.0955 0.8090
0.7500 0.9045 0.1910
```



Compound: YCuOs2
Source: Alexandria
Functional: meta-GGA SCAN
Structure: single point on PBEsol structure

Values from the calculation:
As for the formation energy: 0.649 eV/atom. The energy relative to the lowest polymorph listed for this composition is 31.0 kJ/mol of atoms.

POSCAR file:
```
YCuOs2
1.0
2.7686 0.0000 0.0000
1.3843 2.3977 0.0000
1.3843 0.7992 9.3249
Cu Os Y
1 2 1
direct
0.0000 0.0000 0.0000
0.2595 0.2595 0.2214
0.7405 0.7405 0.7786
0.5000 0.5000 0.5000
```



Compound: YCr2Rh
Source: Alexandria
Functional: meta-GGA SCAN
Structure: single point on PBEsol structure

Values from the calculation:
As for the formation energy: -0.185 eV/atom. The energy relative to the lowest polymorph listed for this composition is 0.0 kJ/mol of atoms.

POSCAR file:
```
YCr2Rh
1.0
4.5030 0.0000 0.0000
2.2515 3.8997 0.0000
2.2515 1.2999 3.6767
Cr Rh Y
2 1 1
direct
0.0000 0.0000 0.0000
0.2500 0.2500 0.2500
0.5000 0.5000 0.5000
0.7500 0.7500 0.7500
```



Compound: AsOsRu2O
Source: Alexandria
Functional: meta-GGA SCAN
Structure: single point on PBEsol structure

Values from the calculation:
For the formation energy from raw total energies, the calculation gives 1.857 eV/atom.

POSCAR file:
```
AsOsRu2O
1.0
-4.2200 1.0450 1.1749
0.8603 -1.2756 4.2245
1.3130 4.1831 0.9957
Ru As Os O
2 1 1 1
direct
0.0000 0.0000 0.5000
0.0000 0.5000 0.0000
0.0000 0.0000 0.0000
0.5000 0.0000 0.0000
0.5000 0.5000 0.5000
```